1.
Material: Tb5HoSe6
Method: DFT, PBE
State: optimized geometry

The calculation puts the electronic total energy at -5.816 eV/atom.

The space group is C2/m (No. 12) and the conventional cell measures 7.0650, 12.2708 and 7.0542 Å, with angles of 90.00, 109.61 and 90.00 degrees. The inequivalent atoms are Tb at (0.0000, 0.0000, 0.0000), Tb at (0.0000, 0.1672, 0.5000), Tb at (0.0000, 0.3315, 0.0000), Ho at (0.0000, 0.5000, 0.5000), Se at (0.2482, 0.3348, 0.7483) and Se at (0.2477, 0.5000, 0.2506).

=====

2.
Material: Tm4SbC2S
Method: DFT, PBE
State: optimized geometry

The calculation puts the electronic total energy at -6.578 eV/atom.

The space group is P-6m2 (No. 187) and the conventional cell measures 3.6265, 3.6265 and 13.7735 Å, with angles of 90.00, 90.00 and 120.00 degrees. The inequivalent atoms are Tm at (0.0000, 0.0000, 0.1344), Tm at (0.6667, 0.3333, 0.3231), Sb at (0.0000, 0.0000, 0.5000), C at (0.3333, 0.6667, 0.2312) and S at (0.6667, 0.3333, 0.0000).

=====

3.
Material: KBeAu
Method: DFT, PBE
State: optimized geometry

The energy above the lowest structure with this stoichiometry is 0.15 eV/f.u. The calculation puts the electronic total energy at -2.070 eV/atom.

The space group is F-43m (No. 216) and the conventional cell measures 6.8953, 6.8953 and 6.8953 Å, with angles of 90.00, 90.00 and 90.00 degrees. The inequivalent atoms are K at (0.0000, 0.0000, 0.0000), Be at (0.0000, 0.0000, 0.5000) and Au at (0.2500, 0.2500, 0.7500).

=====

4.
Material: BaSi2PdPb
Method: DFT, PBE
State: optimized geometry

The calculation puts the electronic total energy at -4.705 eV/atom.

The space group is I4mm (No. 107) and the conventional cell measures 4.6800, 4.6800 and 10.7816 Å, with angles of 90.00, 90.00 and 90.00 degrees. The inequivalent atoms are Ba at (0.0000, 0.0000, 0.0000), Si at (0.0000, 0.5000, 0.2398), Pd at (0.0000, 0.0000, 0.6605) and Pb at (0.0000, 0.0000, 0.3939).

=====

5.
Material: CsPm2CuTe3S
Method: DFT, PBE
State: optimized geometry

The energy above the lowest structure with this stoichiometry is 0.36 eV/f.u. The calculation puts the electronic total energy at -4.674 eV/atom.

The space group is Cmcm (No. 63) and the conventional cell measures 4.3328, 15.4061 and 15.7295 Å, with angles of 90.00, 90.00 and 90.00 degrees. The inequivalent atoms are Cs at (0.0000, 0.1179, 0.2500), Pm at (0.0000, 0.3807, 0.0583), Cu at (0.0000, 0.1650, 0.7500), Te at (0.0000, 0.2565, 0.6070), Te at (0.0000, 0.4308, 0.2500) and S at (0.0000, 0.0000, 0.0000).

=====

6.
Material: LiLuSbIr
Method: DFT, PBE
State: optimized geometry

The energy above the lowest structure with this stoichiometry is 1.31 eV/f.u. The calculation puts the electronic total energy at -5.286 eV/atom.

The space group is F-43m (No. 216) and the conventional cell measures 6.6140, 6.6140 and 6.6140 Å, with angles of 90.00, 90.00 and 90.00 degrees. The inequivalent atoms are Li at (0.0000, 0.0000, 0.0000), Lu at (0.2500, 0.2500, 0.2500), Sb at (0.0000, 0.0000, 0.5000) and Ir at (0.2500, 0.2500, 0.7500).

=====

7.
Material: Li2LaNdTe2O2
Method: DFT, PBE
State: optimized geometry

The calculation puts the electronic total energy at -5.940 eV/atom.

The space group is P4mm (No. 99) and the conventional cell measures 4.1819, 4.1819 and 9.5843 Å, with angles of 90.00, 90.00 and 90.00 degrees. The inequivalent atoms are Li at (0.0000, 0.5000, 0.0000), La at (0.0000, 0.0000, 0.6180), Nd at (0.5000, 0.5000, 0.3796), Te at (0.0000, 0.0000, 0.1833), Te at (0.5000, 0.5000, 0.8183) and O at (0.0000, 0.5000, 0.4970).

=====

8.
Material: NbZn2Bi
Method: DFT, PBE
State: optimized geometry

The calculation puts the electronic total energy at -3.638 eV/atom.

The space group is F-43m (No. 216) and the conventional cell measures 6.8330, 6.8330 and 6.8330 Å, with angles of 90.00, 90.00 and 90.00 degrees. The inequivalent atoms are Nb at (0.0000, 0.0000, 0.0000), Zn at (0.0000, 0.0000, 0.5000), Zn at (0.2500, 0.2500, 0.2500) and Bi at (0.2500, 0.2500, 0.7500).